[1]
The following is a PBE calculation of crystalline NaYMoPd2 at its relaxed geometry, from Alexandria.

Lattice parameters (Å, degrees): 4.711 4.711 4.818 90.00 90.00 90.00
Atoms (fractional coordinates):
Na1 0.000 0.000 0.000
Y1 0.500 0.500 0.500
Mo1 0.000 0.000 0.500
Pd1 0.000 0.500 0.000
Pd2 0.500 0.000 0.000

**Crystal system**: tetragonal
**Energy of formation from the pure elements**: 0.91 eV/atom
**Density of states at the Fermi level**: 3.188 states/eV per cell
**Volume**: 21.38 Å³/atom


[2]
The following is a PBE calculation of crystalline RbHNO2 at its relaxed geometry, from Alexandria.

Lattice parameters (Å, degrees): 5.613 5.613 6.206 90.00 90.00 90.00
Atoms (fractional coordinates):
Rb1 0.000 0.000 0.000
H1 0.500 0.500 0.500
N1 0.000 0.000 0.500
O1 0.000 0.500 0.000
O2 0.500 0.000 0.000

**Crystal system**: tetragonal
**Total energy**: -2.66 eV/atom
**Density of states at the Fermi level**: 4.541 states/eV per cell
**Volume**: 39.11 Å³/atom


[3]
The following is a PBE calculation of crystalline Al2TcW at its relaxed geometry, from Alexandria.

Lattice parameters (Å, degrees): 4.919 4.924 5.034 88.97 89.68 89.80
Atoms (fractional coordinates):
Al1 0.000 0.000 0.000
Al2 0.007 0.478 0.753
Al3 0.482 0.725 0.749
Al4 0.750 0.484 0.282
Tc1 0.248 0.512 0.257
Tc2 0.499 0.222 0.777
W1 0.486 0.001 0.256
W2 0.973 0.987 0.500

**Crystal system**: triclinic
**ΔE to the lowest computed polymorph**: 149 meV/atom
**Energy of formation from the pure elements**: -0.16 eV/atom
**Density of states at the Fermi level**: 2.803 states/eV per cell
**Volume**: 15.24 Å³/atom


[4]
The following is a PBE calculation of crystalline LiPm2Zn3Ge4 at its relaxed geometry, from Alexandria.

Lattice parameters (Å, degrees): 4.308 4.308 10.491 90.00 90.00 90.00
Atoms (fractional coordinates):
Li1 0.000 0.000 0.000
Pm1 0.000 0.500 0.744
Pm2 0.500 0.000 0.256
Zn1 0.000 0.500 0.367
Zn2 0.500 0.000 0.633
Zn3 0.500 0.500 0.000
Ge1 0.000 0.000 0.500
Ge2 0.000 0.500 0.137
Ge3 0.500 0.000 0.863
Ge4 0.500 0.500 0.500

**Crystal system**: tetragonal
**Energy of formation from the pure elements**: -0.45 eV/atom
**Density of states at the Fermi level**: 2.323 states/eV per cell
**Volume**: 19.47 Å³/atom


[5]
The following is a PBE calculation of crystalline ScVS2N at its relaxed geometry, from Alexandria.

Lattice parameters (Å, degrees): 4.904 4.904 4.002 90.00 90.00 90.00
Atoms (fractional coordinates):
Sc1 0.000 0.000 0.000
V1 0.500 0.500 0.500
S1 0.000 0.500 0.000
S2 0.500 0.000 0.000
N1 0.000 0.000 0.500

**Crystal system**: tetragonal
**ΔE to the lowest computed polymorph**: 1053 meV/atom
**Uncorrected formation energy**: 0.35 eV/atom
**Density of states at the Fermi level**: 6.394 states/eV per cell
**Volume**: 19.25 Å³/atom


[6]
The following is a PBE calculation of crystalline CaTc3O at its relaxed geometry, from Alexandria.

Lattice parameters (Å, degrees): 5.014 5.014 5.014 90.00 90.00 90.00
Atoms (fractional coordinates):
Ca1 0.000 0.000 0.000
Tc1 0.000 0.000 0.500
Tc2 0.000 0.500 0.000
Tc3 0.500 0.000 0.000
O1 0.500 0.500 0.500

**Crystal system**: cubic
**ΔE to the lowest computed polymorph**: 2921 meV/atom
**Uncorrected formation energy**: 3.17 eV/atom
**Density of states at the Fermi level**: 5.514 states/eV per cell
**Volume**: 25.22 Å³/atom


[7]
The following is a PBE calculation of crystalline ScTe2SeCl at its relaxed geometry, from Alexandria.

Lattice parameters (Å, degrees): 5.472 5.472 5.186 90.00 90.00 90.00
Atoms (fractional coordinates):
Sc1 0.000 0.000 0.000
Te1 0.000 0.500 0.500
Te2 0.500 0.000 0.500
Se1 0.000 0.000 0.500
Cl1 0.500 0.500 0.000

**Crystal system**: tetragonal
**Uncorrected formation energy**: -0.02 eV/atom
**Density of states at the Fermi level**: 4.472 states/eV per cell
**Volume**: 31.05 Å³/atom


[8]
The following is a PBE calculation of crystalline CeErTmSc at its relaxed geometry, from Alexandria.

Lattice parameters (Å, degrees): 7.752 7.752 7.752 90.00 90.00 90.00
Atoms (fractional coordinates):
Ce1 0.000 0.000 0.000
Ce2 0.000 0.500 0.500
Ce3 0.500 0.000 0.500
Ce4 0.500 0.500 0.000
Er1 0.000 0.000 0.500
Er2 0.000 0.500 0.000
Er3 0.500 0.000 0.000
Er4 0.500 0.500 0.500
Tm1 0.250 0.250 0.750
Tm2 0.250 0.750 0.250
Tm3 0.750 0.250 0.250
Tm4 0.750 0.750 0.750
Sc1 0.250 0.250 0.250
Sc2 0.250 0.750 0.750
Sc3 0.750 0.250 0.750
Sc4 0.750 0.750 0.250

**Crystal system**: cubic
**Energy of formation from the pure elements**: 0.13 eV/atom
**Density of states at the Fermi level**: 30.679 states/eV per cell
**Volume**: 29.12 Å³/atom


[9]
The following is a PBE calculation of crystalline CaSc2Al2 at its relaxed geometry, from Alexandria.

Lattice parameters (Å, degrees): 8.537 8.537 3.129 90.00 90.00 90.00
Atoms (fractional coordinates):
Ca1 0.000 0.000 0.000
Ca2 0.500 0.500 0.000
Sc1 0.124 0.376 0.000
Sc2 0.376 0.876 0.000
Sc3 0.624 0.124 0.000
Sc4 0.876 0.624 0.000
Al1 0.174 0.674 0.500
Al2 0.326 0.174 0.500
Al3 0.674 0.826 0.500
Al4 0.826 0.326 0.500

**Crystal system**: tetragonal
**ΔE to the lowest computed polymorph**: 0 meV/atom
**Energy of formation from the pure elements**: -0.25 eV/atom
**Density of states at the Fermi level**: 9.319 states/eV per cell
**Volume**: 22.80 Å³/atom


[10]
The following is a PBE calculation of crystalline BaY2Mn at its relaxed geometry, from Alexandria.

Lattice parameters (Å, degrees): 3.957 3.957 8.584 90.00 90.00 90.00
Atoms (fractional coordinates):
Ba1 0.000 0.000 0.000
Y1 0.000 0.000 0.416
Y2 0.500 0.500 0.652
Mn1 0.500 0.500 0.280

**Crystal system**: tetragonal
**ΔE to the lowest computed polymorph**: 85 meV/atom
**Energy of formation from the pure elements**: 0.30 eV/atom
**Density of states at the Fermi level**: 4.955 states/eV per cell
**Volume**: 33.61 Å³/atom


[11]
The following is a PBE calculation of crystalline Th4MgPd15 at its relaxed geometry, from Alexandria.

Lattice parameters (Å, degrees): 4.198 4.198 20.597 90.00 90.00 90.00
Atoms (fractional coordinates):
Th1 0.000 0.000 0.104
Th2 0.000 0.000 0.312
Th3 0.000 0.000 0.688
Th4 0.000 0.000 0.896
Mg1 0.000 0.000 0.500
Pd1 0.000 0.500 0.000
Pd2 0.000 0.500 0.204
Pd3 0.000 0.500 0.408
Pd4 0.000 0.500 0.592
Pd5 0.000 0.500 0.796
Pd6 0.500 0.000 0.000
Pd7 0.500 0.000 0.204
Pd8 0.500 0.000 0.408
Pd9 0.500 0.000 0.592
Pd10 0.500 0.000 0.796
Pd11 0.500 0.500 0.101
Pd12 0.500 0.500 0.304
Pd13 0.500 0.500 0.500
Pd14 0.500 0.500 0.696
Pd15 0.500 0.500 0.899

**Crystal system**: tetragonal
**Energy of formation from the pure elements**: -0.88 eV/atom
**Density of states at the Fermi level**: 2.803 states/eV per cell
**Volume**: 18.15 Å³/atom


[12]
The following is a PBE calculation of crystalline SrLi4MgIn2 at its relaxed geometry, from Alexandria.

Lattice parameters (Å, degrees): 9.259 9.259 9.259 30.35 30.35 30.35
Atoms (fractional coordinates):
Sr1 0.000 0.000 0.000
Li1 0.131 0.131 0.131
Li2 0.397 0.397 0.397
Li3 0.603 0.603 0.603
Li4 0.869 0.869 0.869
Mg1 0.500 0.500 0.500
In1 0.243 0.243 0.243
In2 0.757 0.757 0.757

**Crystal system**: trigonal
**Energy of formation from the pure elements**: -0.21 eV/atom
**Density of states at the Fermi level**: 4.450 states/eV per cell
**Volume**: 22.45 Å³/atom


[13]
The following is a PBE calculation of crystalline Sc4NiAgPd2 at its relaxed geometry, from Alexandria.

Lattice parameters (Å, degrees): 8.113 8.113 8.113 33.60 33.60 33.60
Atoms (fractional coordinates):
Sc1 0.119 0.119 0.119
Sc2 0.370 0.370 0.370
Sc3 0.630 0.630 0.630
Sc4 0.881 0.881 0.881
Ni1 0.000 0.000 0.000
Ag1 0.500 0.500 0.500
Pd1 0.249 0.249 0.249
Pd2 0.751 0.751 0.751

**Crystal system**: trigonal
**Energy of formation from the pure elements**: -0.63 eV/atom
**Density of states at the Fermi level**: 5.118 states/eV per cell
**Volume**: 18.21 Å³/atom